Entry 1:
Material: MnRuW2
Method: DFT, PBE
State: relaxed

Magnetic moment, μB/f.u.: 2.847
Final energy, eV per atom: -11.00
Energy of formation, meV per atom: 91.6

a b c (Å): 3.160 4.343 4.326
angles (deg): 90.00 90.00 90.00
Atoms (fractional coordinates):
W (0.000, 0.000, 0.000)
W (0.500, 0.500, 0.000)
Mn (0.500, 0.000, 0.500)
Ru (0.000, 0.500, 0.500)



Entry 2:
Material: MnRuW2
Method: DFT, PBE
State: relaxed

Magnetic moment, μB/f.u.: 0.000
Final energy, eV per atom: -10.91
Energy of formation, meV per atom: 176.7

a b c (Å): 2.702 2.702 7.915
angles (deg): 90.00 90.00 90.00
Atoms (fractional coordinates):
W (0.000, 0.000, 0.988)
W (0.500, 0.500, 0.274)
Ru (0.500, 0.500, 0.720)
Mn (0.000, 0.000, 0.518)



Entry 3:
Material: MnRu2W
Method: DFT, PBE
State: relaxed

Magnetic moment, μB/f.u.: 1.901
Final energy, eV per atom: -9.97
Energy of formation, meV per atom: 196.4

a b c (Å): 3.128 3.128 5.817
angles (deg): 90.00 90.00 90.00
Atoms (fractional coordinates):
Mn (0.500, 0.500, 0.766)
Ru (0.000, 0.000, 0.960)
Ru (0.500, 0.500, 0.262)
W (0.000, 0.000, 0.512)



Entry 4:
Material: MnRuW2
Method: DFT, PBE
State: relaxed

Magnetic moment, μB/f.u.: 3.191
Final energy, eV per atom: -10.27
Energy of formation, meV per atom: 816.4

a b c (Å): 3.710 3.710 9.776
angles (deg): 79.06 79.06 90.00
Atoms (fractional coordinates):
Mn (0.250, 0.750, 0.500)
Mn (0.500, 0.500, 0.000)
W (0.618, 0.125, 0.250)
W (0.132, 0.625, 0.250)
W (0.875, 0.868, 0.750)
W (0.375, 0.382, 0.750)
Ru (0.000, 0.000, 0.000)
Ru (0.750, 0.250, 0.500)



Entry 5:
Material: Mn2RuW
Method: DFT, PBE
State: relaxed

Magnetic moment, μB/f.u.: 2.340
Final energy, eV per atom: -9.99
Energy of formation, meV per atom: 152.8

a b c (Å): 2.657 2.657 7.557
angles (deg): 90.00 90.00 89.86
Atoms (fractional coordinates):
Mn (0.000, 0.000, 0.485)
Mn (0.000, 0.000, 0.015)
Ru (0.500, 0.500, 0.250)
W (0.500, 0.500, 0.750)



Entry 6:
Material: MnRuW2
Method: DFT, PBE
State: relaxed

Magnetic moment, μB/f.u.: 2.942
Final energy, eV per atom: -10.81
Energy of formation, meV per atom: 280.0

a b c (Å): 9.158 9.158 9.158
angles (deg): 17.42 17.42 17.42
Atoms (fractional coordinates):
W (0.500, 0.500, 0.500)
W (0.000, 0.000, 0.000)
Mn (0.250, 0.250, 0.250)
Ru (0.750, 0.750, 0.750)